SbP2Br | GGA-PBE | optimized geometry

abc: 4.916 4.899 4.890
angles: 70.11 71.53 110.10
Fractional positions:
Br1 0.500 0.500 0.000
P1 0.000 0.000 0.000
P2 0.500 0.000 0.500
Sb1 0.000 0.500 0.500

Computed properties:
Relative energy among the computed polymorphs   460 meV/atom
Formation energy from raw total energies   0.55 eV per atom
E_tot   -3.61 eV per atom

SbP2Br | GGA-PBE | optimized geometry

abc: 4.080 4.069 5.612
angles: 81.13 90.00 90.00
Fractional positions:
Sb1 0.500 0.500 0.500
P1 0.000 0.000 0.000
P2 0.500 0.500 0.000
Br1 0.000 0.000 0.500

Computed properties:
Relative energy among the computed polymorphs   549 meV/atom
Formation energy from raw total energies   0.64 eV per atom
E_tot   -3.52 eV per atom

SbP2Br | GGA-PBE | optimized geometry

abc: 4.051 4.051 7.721
angles: 77.98 77.98 71.47
Fractional positions:
Br1 0.226 0.226 0.305
P1 0.082 0.082 0.855
P2 0.792 0.792 0.767
Sb1 0.401 0.401 0.573

Computed properties:
Relative energy among the computed polymorphs   44 meV/atom
Formation energy from raw total energies   0.13 eV per atom
E_tot   -4.02 eV per atom

SbP2Br | GGA-PBE | optimized geometry

abc: 7.053 7.053 6.659
angles: 58.03 58.03 90.00
Fractional positions:
Sb1 0.000 0.000 0.000
Sb2 0.750 0.250 0.500
Br1 0.500 0.500 0.000
Br2 0.250 0.750 0.500
P1 0.655 0.125 0.250
P2 0.095 0.625 0.250
P3 0.375 0.345 0.750
P4 0.875 0.905 0.750

Computed properties:
Relative energy among the computed polymorphs   476 meV/atom
Formation energy from raw total energies   0.56 eV per atom
E_tot   -3.59 eV per atom

SbP2Br | GGA-PBE | optimized geometry

abc: 3.771 3.771 10.478
angles: 90.00 90.00 128.70
Fractional positions:
Br1 0.500 0.500 0.718
P1 0.000 0.000 0.075
P2 0.500 0.500 0.206
Sb1 0.000 0.000 0.501

Computed properties:
Relative energy among the computed polymorphs   189 meV/atom
Formation energy from raw total energies   0.28 eV per atom
E_tot   -3.88 eV per atom

Sb2P2Br | GGA-PBE | optimized geometry

abc: 4.461 4.461 7.386
angles: 72.43 72.43 90.00
Fractional positions:
Sb1 0.363 0.363 0.274
Sb2 0.637 0.637 0.726
Br1 0.000 0.000 0.000
P1 0.750 0.250 0.500
P2 0.250 0.750 0.500

Computed properties:
Formation energy from raw total energies   0.06 eV per atom
E_tot   -4.09 eV per atom

- What is the E_tot in the fifth record?
  -3.88 eV per atom

- Which value of E_tot does entry 4 give?
  -3.59 eV per atom